one:
# Pm2Er2Tm | the Alexandria database | GGA-PBE | relaxed
# space group = Cmc2_1, No. 36
data_Pm2Er2Tm
_cell_length_a 5.573
_cell_length_b 5.573
_cell_length_c 11.801
_cell_angle_alpha 90.00
_cell_angle_beta 90.00
_cell_angle_gamma 117.30
_space_group_name_H-M_alt 'P 1'
_space_group_IT_number 1
_space_group_name_Hall 'P 1'
loop_
_atom_site_label
_atom_site_fract_x
_atom_site_fract_y
_atom_site_fract_z
Pm1 0.044 0.956 0.500
Pm2 0.336 0.664 0.325
Pm3 0.664 0.336 0.825
Pm4 0.956 0.044 0.000
Er1 0.015 0.985 0.752
Er2 0.302 0.698 0.979
Er3 0.698 0.302 0.479
Er4 0.985 0.015 0.252
Tm1 0.357 0.643 0.641
Tm2 0.643 0.357 0.141


two:
# Pm2Er2Tm | the Alexandria database | GGA-PBE | relaxed
# space group = P-3m1, No. 164
data_Pm2Er2Tm
_cell_length_a 3.567
_cell_length_b 3.567
_cell_length_c 14.465
_cell_angle_alpha 90.00
_cell_angle_beta 90.00
_cell_angle_gamma 120.00
_space_group_name_H-M_alt 'P 1'
_space_group_IT_number 1
_space_group_name_Hall 'P 1'
loop_
_atom_site_label
_atom_site_fract_x
_atom_site_fract_y
_atom_site_fract_z
Pm1 0.333 0.667 0.396
Pm2 0.667 0.333 0.604
Er1 0.333 0.667 0.805
Er2 0.667 0.333 0.195
Tm1 0.000 0.000 0.000


Stability ranking, top entry: two; the second entry is 0.205 eV/atom less favorable.


one:
# PmEr2Tm3 | the Alexandria database | GGA-PBE | relaxed
# space group = C2/c, No. 15
data_PmEr2Tm3
_cell_length_a 9.314
_cell_length_b 9.314
_cell_length_c 6.090
_cell_angle_alpha 90.18
_cell_angle_beta 90.18
_cell_angle_gamma 44.45
_space_group_name_H-M_alt 'P 1'
_space_group_IT_number 1
_space_group_name_Hall 'P 1'
loop_
_atom_site_label
_atom_site_fract_x
_atom_site_fract_y
_atom_site_fract_z
Pm1 0.126 0.874 0.750
Pm2 0.874 0.126 0.250
Er1 0.208 0.457 0.582
Er2 0.457 0.208 0.082
Er3 0.543 0.792 0.918
Er4 0.792 0.543 0.418
Tm1 0.043 0.293 0.916
Tm2 0.293 0.043 0.416
Tm3 0.376 0.624 0.250
Tm4 0.624 0.376 0.750
Tm5 0.707 0.957 0.584
Tm6 0.957 0.707 0.084


two:
# PmEr2Tm3 | the Alexandria database | GGA-PBE | relaxed
# space group = C2/m, No. 12
data_PmEr2Tm3
_cell_length_a 11.519
_cell_length_b 11.519
_cell_length_c 10.119
_cell_angle_alpha 108.23
_cell_angle_beta 108.23
_cell_angle_gamma 17.37
_space_group_name_H-M_alt 'P 1'
_space_group_IT_number 1
_space_group_name_Hall 'P 1'
loop_
_atom_site_label
_atom_site_fract_x
_atom_site_fract_y
_atom_site_fract_z
Pm1 0.185 0.185 0.041
Pm2 0.815 0.815 0.959
Er1 0.193 0.193 0.374
Er2 0.431 0.431 0.859
Er3 0.569 0.569 0.141
Er4 0.807 0.807 0.626
Tm1 0.059 0.059 0.443
Tm2 0.195 0.195 0.715
Tm3 0.432 0.432 0.238
Tm4 0.568 0.568 0.762
Tm5 0.805 0.805 0.285
Tm6 0.941 0.941 0.557


Stability ranking, top entry: one; the second entry is 0.099 eV/atom less favorable.


one:
# PmEr3Tm4 | the Alexandria database | GGA-PBE | relaxed
# space group = Pmmm, No. 47
data_PmEr3Tm4
_cell_length_a 3.522
_cell_length_b 7.021
_cell_length_c 9.915
_cell_angle_alpha 90.00
_cell_angle_beta 90.00
_cell_angle_gamma 90.00
_space_group_name_H-M_alt 'P 1'
_space_group_IT_number 1
_space_group_name_Hall 'P 1'
loop_
_atom_site_label
_atom_site_fract_x
_atom_site_fract_y
_atom_site_fract_z
Pm1 0.000 0.000 0.000
Er1 0.000 0.000 0.500
Er2 0.000 0.500 0.000
Er3 0.000 0.500 0.500
Tm1 0.500 0.252 0.252
Tm2 0.500 0.252 0.748
Tm3 0.500 0.748 0.252
Tm4 0.500 0.748 0.748


two:
# PmEr3Tm4 | the Alexandria database | GGA-PBE | relaxed
# space group = Pmn2_1, No. 31
data_PmEr3Tm4
_cell_length_a 11.131
_cell_length_b 7.194
_cell_length_c 6.210
_cell_angle_alpha 90.00
_cell_angle_beta 90.00
_cell_angle_gamma 90.00
_space_group_name_H-M_alt 'P 1'
_space_group_IT_number 1
_space_group_name_Hall 'P 1'
loop_
_atom_site_label
_atom_site_fract_x
_atom_site_fract_y
_atom_site_fract_z
Pm1 0.000 0.127 0.000
Pm2 0.500 0.873 0.500
Er1 0.000 0.874 0.499
Er2 0.250 0.127 0.334
Er3 0.250 0.873 0.834
Er4 0.500 0.126 0.999
Er5 0.750 0.127 0.334
Er6 0.750 0.873 0.834
Tm1 0.000 0.377 0.501
Tm2 0.000 0.624 0.000
Tm3 0.248 0.623 0.334
Tm4 0.252 0.377 0.834
Tm5 0.500 0.376 0.500
Tm6 0.500 0.623 0.001
Tm7 0.748 0.377 0.834
Tm8 0.752 0.623 0.334


Stability ranking, top entry: two; the second entry is 0.024 eV/atom less favorable.


one:
# Pm3Er2Tm7 | the Alexandria database | GGA-PBE | relaxed
# space group = P2/m, No. 10
data_Pm3Er2Tm7
_cell_length_a 5.757
_cell_length_b 3.533
_cell_length_c 18.613
_cell_angle_alpha 90.00
_cell_angle_beta 93.05
_cell_angle_gamma 90.00
_space_group_name_H-M_alt 'P 1'
_space_group_IT_number 1
_space_group_name_Hall 'P 1'
loop_
_atom_site_label
_atom_site_fract_x
_atom_site_fract_y
_atom_site_fract_z
Pm1 0.000 0.000 0.000
Pm2 0.278 0.500 0.633
Pm3 0.722 0.500 0.367
Er1 0.210 0.000 0.292
Er2 0.790 0.000 0.708
Tm1 0.191 0.500 0.143
Tm2 0.243 0.000 0.462
Tm3 0.306 0.000 0.825
Tm4 0.500 0.500 0.000
Tm5 0.694 0.000 0.175
Tm6 0.757 0.000 0.538
Tm7 0.809 0.500 0.857


two:
# Pm3Er2Tm7 | the Alexandria database | GGA-PBE | relaxed
# space group = P2/m, No. 10
data_Pm3Er2Tm7
_cell_length_a 3.593
_cell_length_b 5.520
_cell_length_c 20.321
_cell_angle_alpha 90.00
_cell_angle_beta 95.09
_cell_angle_gamma 90.00
_space_group_name_H-M_alt 'P 1'
_space_group_IT_number 1
_space_group_name_Hall 'P 1'
loop_
_atom_site_label
_atom_site_fract_x
_atom_site_fract_y
_atom_site_fract_z
Pm1 0.000 0.000 0.000
Pm2 0.329 0.500 0.661
Pm3 0.671 0.500 0.339
Er1 0.138 0.000 0.273
Er2 0.862 0.000 0.727
Tm1 0.086 0.500 0.170
Tm2 0.215 0.000 0.430
Tm3 0.432 0.000 0.866
Tm4 0.500 0.500 0.000
Tm5 0.568 0.000 0.134
Tm6 0.785 0.000 0.570
Tm7 0.914 0.500 0.830


Stability ranking, top entry: one; the second entry is 0.149 eV/atom less favorable.


one:
# Pm7Er2Tm2 | the Alexandria database | GGA-PBE | relaxed
# space group = Imm2, No. 44
data_Pm7Er2Tm2
_cell_length_a 9.419
_cell_length_b 9.419
_cell_length_c 9.419
_cell_angle_alpha 145.32
_cell_angle_beta 63.47
_cell_angle_gamma 128.63
_space_group_name_H-M_alt 'P 1'
_space_group_IT_number 1
_space_group_name_Hall 'P 1'
loop_
_atom_site_label
_atom_site_fract_x
_atom_site_fract_y
_atom_site_fract_z
Pm1 0.000 0.000 0.000
Pm2 0.134 0.298 0.836
Pm3 0.137 0.502 0.635
Pm4 0.461 0.298 0.164
Pm5 0.463 0.096 0.367
Pm6 0.729 0.096 0.633
Pm7 0.867 0.502 0.365
Er1 0.000 0.799 0.201
Er2 0.598 0.799 0.799
Tm1 0.299 0.799 0.500
Tm2 0.585 0.585 0.000


two:
# Pm7Er2Tm2 | the Alexandria database | GGA-PBE | relaxed
# space group = Imm2, No. 44
data_Pm7Er2Tm2
_cell_length_a 10.876
_cell_length_b 10.876
_cell_length_c 10.876
_cell_angle_alpha 161.04
_cell_angle_beta 67.31
_cell_angle_gamma 116.11
_space_group_name_H-M_alt 'P 1'
_space_group_IT_number 1
_space_group_name_Hall 'P 1'
loop_
_atom_site_label
_atom_site_fract_x
_atom_site_fract_y
_atom_site_fract_z
Pm1 0.000 0.000 0.000
Pm2 0.126 0.788 0.338
Pm3 0.429 0.548 0.882
Pm4 0.450 0.788 0.662
Pm5 0.637 0.307 0.330
Pm6 0.666 0.548 0.118
Pm7 0.977 0.307 0.670
Er1 0.310 0.310 0.000
Er2 0.725 0.225 0.500
Tm1 0.264 0.050 0.214
Tm2 0.835 0.050 0.786


Stability ranking, top entry: one; the second entry is 0.062 eV/atom less favorable.


one:
# Pm6Er12Tm | the Alexandria database | GGA-PBE | relaxed
# space group = R-3m, No. 166
data_Pm6Er12Tm
_cell_length_a 8.673
_cell_length_b 8.673
_cell_length_c 8.673
_cell_angle_alpha 98.68
_cell_angle_beta 98.68
_cell_angle_gamma 98.68
_space_group_name_H-M_alt 'P 1'
_space_group_IT_number 1
_space_group_name_Hall 'P 1'
loop_
_atom_site_label
_atom_site_fract_x
_atom_site_fract_y
_atom_site_fract_z
Pm1 0.157 0.597 0.597
Pm2 0.403 0.403 0.843
Pm3 0.403 0.843 0.403
Pm4 0.597 0.157 0.597
Pm5 0.597 0.597 0.157
Pm6 0.843 0.403 0.403
Er1 0.000 0.257 0.743
Er2 0.000 0.743 0.257
Er3 0.145 0.145 0.418
Er4 0.145 0.418 0.145
Er5 0.257 0.000 0.743
Er6 0.257 0.743 0.000
Er7 0.418 0.145 0.145
Er8 0.582 0.855 0.855
Er9 0.743 0.000 0.257
Er10 0.743 0.257 0.000
Er11 0.855 0.582 0.855
Er12 0.855 0.855 0.582
Tm1 0.500 0.500 0.500


two:
# Pm6Er12Tm | the Alexandria database | GGA-PBE | relaxed
# space group = R-3m, No. 166
data_Pm6Er12Tm
_cell_length_a 8.617
_cell_length_b 8.617
_cell_length_c 8.617
_cell_angle_alpha 79.59
_cell_angle_beta 79.59
_cell_angle_gamma 79.59
_space_group_name_H-M_alt 'P 1'
_space_group_IT_number 1
_space_group_name_Hall 'P 1'
loop_
_atom_site_label
_atom_site_fract_x
_atom_site_fract_y
_atom_site_fract_z
Pm1 0.267 0.267 0.662
Pm2 0.267 0.662 0.267
Pm3 0.338 0.733 0.733
Pm4 0.662 0.267 0.267
Pm5 0.733 0.338 0.733
Pm6 0.733 0.733 0.338
Er1 0.013 0.013 0.695
Er2 0.013 0.695 0.013
Er3 0.014 0.363 0.363
Er4 0.305 0.987 0.987
Er5 0.363 0.014 0.363
Er6 0.363 0.363 0.014
Er7 0.637 0.637 0.986
Er8 0.637 0.986 0.637
Er9 0.695 0.013 0.013
Er10 0.986 0.637 0.637
Er11 0.987 0.305 0.987
Er12 0.987 0.987 0.305
Tm1 0.500 0.500 0.500


Stability ranking, top entry: two; the second entry is 0.093 eV/atom less favorable.


one:
# PmErTmZn | the Alexandria database | GGA-PBE | relaxed
# space group = F-43m, No. 216
data_PmErTmZn
_cell_length_a 5.337
_cell_length_b 5.337
_cell_length_c 5.337
_cell_angle_alpha 60.00
_cell_angle_beta 60.00
_cell_angle_gamma 60.00
_space_group_name_H-M_alt 'P 1'
_space_group_IT_number 1
_space_group_name_Hall 'P 1'
loop_
_atom_site_label
_atom_site_fract_x
_atom_site_fract_y
_atom_site_fract_z
Pm1 0.000 0.000 0.000
Er1 0.500 0.500 0.500
Tm1 0.750 0.750 0.750
Zn1 0.250 0.250 0.250


two:
# PmErTmZn | the Alexandria database | GGA-PBE | relaxed
# space group = P4mm, No. 99
data_PmErTmZn
_cell_length_a 3.545
_cell_length_b 3.545
_cell_length_c 8.681
_cell_angle_alpha 90.00
_cell_angle_beta 90.00
_cell_angle_gamma 90.00
_space_group_name_H-M_alt 'P 1'
_space_group_IT_number 1
_space_group_name_Hall 'P 1'
loop_
_atom_site_label
_atom_site_fract_x
_atom_site_fract_y
_atom_site_fract_z
Pm1 0.000 0.000 0.000
Er1 0.500 0.500 0.701
Tm1 0.500 0.500 0.298
Zn1 0.000 0.000 0.498


Stability ranking, top entry: two; the second entry is 0.200 eV/atom less favorable.


one:
# Pm5Y12Er2 | the Alexandria database | GGA-PBE | relaxed
# space group = C2/m, No. 12
data_Pm5Y12Er2
_cell_length_a 9.107
_cell_length_b 9.107
_cell_length_c 8.686
_cell_angle_alpha 91.67
_cell_angle_beta 91.67
_cell_angle_gamma 61.94
_space_group_name_H-M_alt 'P 1'
_space_group_IT_number 1
_space_group_name_Hall 'P 1'
loop_
_atom_site_label
_atom_site_fract_x
_atom_site_fract_y
_atom_site_fract_z
Pm1 0.000 0.000 0.000
Pm2 0.230 0.230 0.071
Pm3 0.295 0.295 0.481
Pm4 0.705 0.705 0.519
Pm5 0.770 0.770 0.929
Y1 0.031 0.673 0.263
Y2 0.075 0.075 0.375
Y3 0.181 0.562 0.832
Y4 0.327 0.969 0.737
Y5 0.438 0.819 0.168
Y6 0.443 0.443 0.167
Y7 0.557 0.557 0.833
Y8 0.562 0.181 0.832
Y9 0.673 0.031 0.263
Y10 0.819 0.438 0.168
Y11 0.925 0.925 0.625
Y12 0.969 0.327 0.737
Er1 0.328 0.672 0.500
Er2 0.672 0.328 0.500


two:
# Pm5Y12Er2 | the Alexandria database | GGA-PBE | relaxed
# space group = P-1, No. 2
data_Pm5Y12Er2
_cell_length_a 6.211
_cell_length_b 9.492
_cell_length_c 11.315
_cell_angle_alpha 83.05
_cell_angle_beta 79.41
_cell_angle_gamma 70.97
_space_group_name_H-M_alt 'P 1'
_space_group_IT_number 1
_space_group_name_Hall 'P 1'
loop_
_atom_site_label
_atom_site_fract_x
_atom_site_fract_y
_atom_site_fract_z
Pm1 0.000 0.000 0.000
Pm2 0.156 0.317 0.052
Pm3 0.422 0.840 0.474
Pm4 0.578 0.160 0.526
Pm5 0.844 0.683 0.948
Y1 0.051 0.106 0.683
Y2 0.106 0.212 0.369
Y3 0.210 0.421 0.735
Y4 0.316 0.631 0.107
Y5 0.370 0.735 0.788
Y6 0.474 0.948 0.158
Y7 0.526 0.052 0.842
Y8 0.630 0.265 0.212
Y9 0.684 0.369 0.893
Y10 0.790 0.579 0.265
Y11 0.894 0.788 0.631
Y12 0.949 0.894 0.317
Er1 0.264 0.526 0.422
Er2 0.736 0.474 0.578


Stability ranking, top entry: two; the second entry is 0.095 eV/atom less favorable.


one:
# Pm3Y7Er | the Alexandria database | GGA-PBE | relaxed
# space group = Immm, No. 71
data_Pm3Y7Er
_cell_length_a 8.474
_cell_length_b 8.474
_cell_length_c 8.474
_cell_angle_alpha 139.47
_cell_angle_beta 97.54
_cell_angle_gamma 96.25
_space_group_name_H-M_alt 'P 1'
_space_group_IT_number 1
_space_group_name_Hall 'P 1'
loop_
_atom_site_label
_atom_site_fract_x
_atom_site_fract_y
_atom_site_fract_z
Pm1 0.000 0.000 0.000
Pm2 0.212 0.712 0.500
Pm3 0.788 0.288 0.500
Y1 0.001 0.799 0.202
Y2 0.206 0.500 0.706
Y3 0.402 0.201 0.202
Y4 0.500 0.000 0.500
Y5 0.598 0.799 0.798
Y6 0.794 0.500 0.294
Y7 0.999 0.201 0.798
Er1 0.500 0.500 0.000


two:
# Pm3Y7Er | the Alexandria database | GGA-PBE | relaxed
# space group = P2/m, No. 10
data_Pm3Y7Er
_cell_length_a 6.931
_cell_length_b 5.549
_cell_length_c 10.074
_cell_angle_alpha 90.00
_cell_angle_beta 108.51
_cell_angle_gamma 90.00
_space_group_name_H-M_alt 'P 1'
_space_group_IT_number 1
_space_group_name_Hall 'P 1'
loop_
_atom_site_label
_atom_site_fract_x
_atom_site_fract_y
_atom_site_fract_z
Pm1 0.000 0.000 0.000
Pm2 0.279 0.500 0.494
Pm3 0.721 0.500 0.506
Y1 0.000 0.000 0.500
Y2 0.152 0.500 0.787
Y3 0.318 0.500 0.133
Y4 0.429 0.000 0.329
Y5 0.571 0.000 0.671
Y6 0.682 0.500 0.867
Y7 0.848 0.500 0.213
Er1 0.500 0.000 0.000


Stability ranking, top entry: two; the second entry is 0.126 eV/atom less favorable.


one:
# PmY5Er3 | the Alexandria database | GGA-PBE | relaxed
# space group = I4/mcm, No. 140
data_PmY5Er3
_cell_length_a 9.903
_cell_length_b 9.903
_cell_length_c 9.903
_cell_angle_alpha 128.53
_cell_angle_beta 128.53
_cell_angle_gamma 75.77
_space_group_name_H-M_alt 'P 1'
_space_group_IT_number 1
_space_group_name_Hall 'P 1'
loop_
_atom_site_label
_atom_site_fract_x
_atom_site_fract_y
_atom_site_fract_z
Pm1 0.250 0.750 0.500
Pm2 0.750 0.250 0.500
Y1 0.000 0.000 0.000
Y2 0.065 0.565 0.902
Y3 0.162 0.065 0.500
Y4 0.338 0.838 0.902
Y5 0.435 0.338 0.500
Y6 0.500 0.500 0.000
Y7 0.565 0.662 0.500
Y8 0.662 0.162 0.098
Y9 0.838 0.935 0.500
Y10 0.935 0.435 0.098
Er1 0.119 0.381 0.500
Er2 0.250 0.250 0.000
Er3 0.381 0.881 0.262
Er4 0.619 0.119 0.738
Er5 0.750 0.750 0.000
Er6 0.881 0.619 0.500


two:
# PmY5Er3 | the Alexandria database | GGA-PBE | relaxed
# space group = C2/c, No. 15
data_PmY5Er3
_cell_length_a 8.678
_cell_length_b 8.678
_cell_length_c 11.815
_cell_angle_alpha 107.95
_cell_angle_beta 107.95
_cell_angle_gamma 45.48
_space_group_name_H-M_alt 'P 1'
_space_group_IT_number 1
_space_group_name_Hall 'P 1'
loop_
_atom_site_label
_atom_site_fract_x
_atom_site_fract_y
_atom_site_fract_z
Pm1 0.199 0.801 0.750
Pm2 0.801 0.199 0.250
Y1 0.086 0.477 0.737
Y2 0.135 0.234 0.951
Y3 0.234 0.135 0.451
Y4 0.306 0.694 0.250
Y5 0.477 0.086 0.237
Y6 0.523 0.914 0.763
Y7 0.694 0.306 0.750
Y8 0.766 0.865 0.549
Y9 0.865 0.766 0.049
Y10 0.914 0.523 0.263
Er1 0.000 0.000 0.000
Er2 0.000 0.000 0.500
Er3 0.342 0.447 0.489
Er4 0.447 0.342 0.989
Er5 0.553 0.658 0.011
Er6 0.658 0.553 0.511


Stability ranking, top entry: two; the second entry is 0.065 eV/atom less favorable.